A plane-wave DFT calculation with PBE was carried out for a relaxed structure of PuTl3F8.

```
data_PuTl3F8
_chemical_formula_sum 'Pu1 Tl3 F8'
_cell_length_a 6.155
_cell_length_b 6.155
_cell_length_c 6.155
_cell_angle_alpha 90.00
_cell_angle_beta 90.00
_cell_angle_gamma 90.00
_space_group_name_H-M_alt 'P m -3 m'
_space_group_IT_number 221
_space_group_name_Hall '-P 4 2 3'
loop_
_atom_site_label
_atom_site_type_symbol
_atom_site_fract_x
_atom_site_fract_y
_atom_site_fract_z
_atom_site_occupancy
Pu1 Pu 0.000 0.000 0.000 1
Tl1 Tl 0.000 0.500 0.500 1
F1 F 0.208 0.208 0.208 1
```

Properties
Calculated density: 7.2 g/cm³
Energy above the most stable polymorph in this dataset: 5 meV per atom